Material: Tb2NdY6
Method: DFT, PBE
State: optimized geometry

Geometry as POSCAR:
```
Tb2NdY6
1.0
10.8657 -4.8534 0.0000
10.8657 4.8534 0.0000
-1.5136 0.0000 5.5409
Tb Nd Y
4 2 12
direct
0.1678 0.3322 0.0336
0.3322 0.1678 0.5336
0.6678 0.8322 0.4664
0.8322 0.6678 0.9664
0.2502 0.7498 0.7500
0.7498 0.2502 0.2500
0.0019 0.1663 0.8069
0.0834 0.5836 0.5836
0.1663 0.0019 0.3069
0.3337 0.4980 0.1396
0.4164 0.9166 0.9164
0.4980 0.3337 0.6396
0.5020 0.6663 0.3604
0.5836 0.0834 0.0836
0.6663 0.5020 0.8604
0.8337 0.9981 0.6931
0.9166 0.4164 0.4164
0.9981 0.8337 0.1931
```

- uncorrected energy (eV for the cell shown) = -104.47
- space group = C2/c